Entry 1:
Density functional theory data (GGA-PBE) for crystalline InFeSi at its relaxed geometry.

abc: 5.2429 5.2429 5.2429
angles: 145.50 145.50 49.60
With the nearest neighbours (Å) after each atom.
Sites, in units of the cell vectors:
In 0.0000 0.0000 0.0000  5 Si 2.78-2.96, 5 Fe 2.87-2.90
Fe 0.6983 0.6983 0.0000  4 Si 2.37
Si 0.2917 0.2917 0.0000  4 Fe 2.37

- Calculated total energy: -0.2001 hartree per atom
- Energy relative to the elements, uncorrected: 0.29 eV/f.u.

=====

Entry 2:
Density functional theory data (GGA-PBE) for crystalline InFeSi at its relaxed geometry.

abc: 2.8968 2.8968 5.7013
angles: 90.00 90.00 90.00
With the nearest neighbours (Å) after each atom.
Sites, in units of the cell vectors:
In 0.0000 0.0000 0.0000  1 Si 2.68, 4 Fe 2.77, 4 In 2.90
Fe 0.5000 0.5000 0.3280  4 Si 2.35
Si 0.0000 0.0000 0.5307  4 Fe 2.35

- Calculated total energy: -0.2049 hartree per atom
- Energy relative to the elements, uncorrected: -0.10 eV/f.u.

=====

Entry 3:
Density functional theory data (GGA-PBE) for crystalline InFeSi at its relaxed geometry.

abc: 4.4518 4.4518 5.1522
angles: 90.30 90.30 80.34
With the nearest neighbours (Å) after each atom.
Sites, in units of the cell vectors:
In 0.2288 0.2288 0.0651  3 Fe 2.60-2.82, 2 Si 2.88-2.91
In 0.7712 0.7712 0.9349  3 Fe 2.60-2.82, 2 Si 2.88-2.91
Fe 0.0638 0.3569 0.5872  4 Si 2.26-2.34
Fe 0.6431 0.9362 0.4128  4 Si 2.26-2.34
Si 0.1536 0.8464 0.5000  4 Fe 2.28-2.33, 1 Si 2.33
Si 0.5595 0.4405 0.5000  4 Fe 2.26-2.34, 1 Si 2.33

- Calculated total energy: -0.2043 hartree per atom
- Energy relative to the elements, uncorrected: -0.05 eV/f.u.

=====

Entry 4:
Density functional theory data (GGA-PBE) for crystalline InFe4Si at its relaxed geometry.

abc: 4.8562 4.8562 4.8562
angles: 60.00 60.00 60.00
With the nearest neighbours (Å) after each atom.
Sites, in units of the cell vectors:
In 0.0000 0.0000 0.0000  12 Fe 2.85, 4 Si 2.97
Fe 0.3754 0.3754 0.3754  6 Fe 2.42-2.44
Fe 0.3754 0.3754 0.8738  6 Fe 2.42-2.44
Fe 0.3754 0.8738 0.3754  6 Fe 2.42-2.44
Fe 0.8738 0.3754 0.3754  6 Fe 2.42-2.44
Si 0.7500 0.7500 0.7500  12 Fe 2.85, 4 In 2.97

- Calculated total energy: -0.2506 hartree per atom
- Energy relative to the elements, uncorrected: 1.10 eV/f.u.

=====

Entry 5:
Density functional theory data (GGA-PBE) for crystalline InFe2Si2 at its relaxed geometry.

abc: 6.9665 6.9665 2.6931
angles: 90.00 90.00 90.00
With the nearest neighbours (Å) after each atom.
Sites, in units of the cell vectors:
In 0.0000 0.0000 0.0000  2 In 2.69, 4 Si 2.73, 8 Fe 2.95
In 0.5000 0.5000 0.0000  2 In 2.69, 4 Si 2.73, 8 Fe 2.95
Fe 0.1580 0.3420 0.5000  6 Si 2.42-2.49, 2 Fe 2.69
Fe 0.3420 0.8420 0.5000  6 Si 2.42-2.49, 2 Fe 2.69
Fe 0.6580 0.1580 0.5000  6 Si 2.42-2.49, 2 Fe 2.69
Fe 0.8420 0.6580 0.5000  6 Si 2.42-2.49, 2 Fe 2.69
Si 0.1299 0.6299 0.0000  6 Fe 2.42-2.49, 3 Si 2.56-2.69
Si 0.3701 0.1299 0.0000  6 Fe 2.42-2.49, 3 Si 2.56-2.69
Si 0.6299 0.8701 0.0000  6 Fe 2.42-2.49, 3 Si 2.56-2.69
Si 0.8701 0.3701 0.0000  6 Fe 2.42-2.49, 3 Si 2.56-2.69

- Calculated total energy: -0.2241 hartree per atom
- Energy relative to the elements, uncorrected: 0.02 eV/f.u.

=====

Entry 6:
Density functional theory data (GGA-PBE) for crystalline InFeSi at its relaxed geometry.

abc: 4.1575 4.1575 4.1575
angles: 60.00 60.00 60.00
With the nearest neighbours (Å) after each atom.
Sites, in units of the cell vectors:
In 0.0000 0.0000 0.0000  4 Fe 2.55
Fe 0.2500 0.2500 0.2500  4 In 2.55, 4 Si 2.55
Si 0.5000 0.5000 0.5000  4 Fe 2.55

- Calculated total energy: -0.1948 hartree per atom
- Energy relative to the elements, uncorrected: 0.72 eV/f.u.

=====

Entry 7:
Density functional theory data (GGA-PBE) for crystalline InFe2Si2 at its relaxed geometry.

abc: 6.8576 6.8576 2.8105
angles: 90.00 90.00 90.00
With the nearest neighbours (Å) after each atom.
Sites, in units of the cell vectors:
In 0.0000 0.0000 0.0000  4 Fe 2.62, 2 In 2.81
In 0.5000 0.5000 0.0000  4 Fe 2.62, 2 In 2.81
Fe 0.1476 0.3524 0.0000  6 Si 2.42-2.49, 2 In 2.62
Fe 0.3524 0.8524 0.0000  6 Si 2.42-2.49, 2 In 2.62
Fe 0.6476 0.1476 0.0000  6 Si 2.42-2.49, 2 In 2.62
Fe 0.8524 0.6476 0.0000  6 Si 2.42-2.49, 2 In 2.62
Si 0.1400 0.6400 0.5000  6 Fe 2.42-2.49
Si 0.3600 0.1400 0.5000  6 Fe 2.42-2.49
Si 0.6400 0.8600 0.5000  6 Fe 2.42-2.49
Si 0.8600 0.3600 0.5000  6 Fe 2.42-2.49

- Calculated total energy: -0.2252 hartree per atom
- Energy relative to the elements, uncorrected: -0.14 eV/f.u.

=====

Entry 8:
Density functional theory data (GGA-PBE) for crystalline InFeSi at its relaxed geometry.

abc: 6.3987 6.3987 2.9101
angles: 90.00 90.00 126.53
With the nearest neighbours (Å) after each atom.
Sites, in units of the cell vectors:
In 0.1529 0.8471 0.0000  3 Si 2.70-2.92, 4 Fe 2.74, 2 In 2.91
In 0.8471 0.1529 0.0000  3 Si 2.70-2.92, 4 Fe 2.74, 2 In 2.91
Fe 0.2647 0.2647 0.5000  4 Si 2.36
Fe 0.7353 0.7353 0.5000  4 Si 2.36
Si 0.3888 0.6112 0.0000  4 Fe 2.36, 1 Si 2.54
Si 0.6112 0.3888 0.0000  4 Fe 2.36, 1 Si 2.54

- Calculated total energy: -0.2056 hartree per atom
- Energy relative to the elements, uncorrected: -0.16 eV/f.u.

=====

Entry 9:
Density functional theory data (GGA-PBE) for crystalline InFeSi at its relaxed geometry.

abc: 5.2005 5.2005 5.0987
angles: 90.00 90.00 138.09
With the nearest neighbours (Å) after each atom.
Sites, in units of the cell vectors:
In 0.2219 0.7781 0.7500  5 Fe 2.71-3.01, 2 Si 2.99
In 0.7781 0.2219 0.2500  5 Fe 2.71-3.01, 2 Si 2.99
Fe 0.0568 0.9432 0.2500  4 Si 2.32
Fe 0.9432 0.0568 0.7500  4 Si 2.32
Si 0.5000 0.5000 0.0000  4 Fe 2.32, 2 Si 2.55
Si 0.5000 0.5000 0.5000  4 Fe 2.32, 2 Si 2.55

- Calculated total energy: -0.2052 hartree per atom
- Energy relative to the elements, uncorrected: -0.12 eV/f.u.

=====

Entry 10:
Density functional theory data (GGA-PBE) for crystalline InFeSi3 at its relaxed geometry.

abc: 4.4641 4.4641 4.4641
angles: 90.00 90.00 90.00
With the nearest neighbours (Å) after each atom.
Sites, in units of the cell vectors:
In 0.0000 0.0000 0.0000  12 Si 3.16
Fe 0.5000 0.5000 0.5000  6 Si 2.23
Si 0.0000 0.5000 0.5000  2 Fe 2.23
Si 0.5000 0.0000 0.5000  2 Fe 2.23
Si 0.5000 0.5000 0.0000  2 Fe 2.23

- Calculated total energy: -0.1905 hartree per atom
- Energy relative to the elements, uncorrected: 1.55 eV/f.u.

=====

Entry 11:
Density functional theory data (GGA-PBE) for crystalline In2Fe2Si at its relaxed geometry.

abc: 6.0311 6.0311 4.2610
angles: 90.00 90.00 90.00
With the nearest neighbours (Å) after each atom.
Sites, in units of the cell vectors:
In 0.1680 0.3320 0.0000  6 Fe 2.66-2.85, 1 In 2.87
In 0.3320 0.8320 0.0000  6 Fe 2.66-2.85, 1 In 2.87
In 0.6680 0.1680 0.0000  6 Fe 2.66-2.85, 1 In 2.87
In 0.8320 0.6680 0.0000  6 Fe 2.66-2.85, 1 In 2.87
Fe 0.1451 0.6451 0.5000  2 Si 2.31, 1 Fe 2.47
Fe 0.3549 0.1451 0.5000  2 Si 2.31, 1 Fe 2.47
Fe 0.6451 0.8549 0.5000  2 Si 2.31, 1 Fe 2.47
Fe 0.8549 0.3549 0.5000  2 Si 2.31, 1 Fe 2.47
Si 0.0000 0.0000 0.5000  4 Fe 2.31
Si 0.5000 0.5000 0.5000  4 Fe 2.31

- Calculated total energy: -0.2006 hartree per atom
- Energy relative to the elements, uncorrected: 0.54 eV/f.u.

=====

Entry 12:
Density functional theory data (GGA-PBE) for crystalline InFeSi at its relaxed geometry.

abc: 5.7142 2.8782 5.7779
angles: 90.00 90.00 90.00
With the nearest neighbours (Å) after each atom.
Sites, in units of the cell vectors:
In 0.2500 0.0000 0.1766  3 Si 2.71-2.93, 4 Fe 2.76, 2 In 2.88
In 0.7500 0.0000 0.8234  3 Si 2.71-2.93, 4 Fe 2.76, 2 In 2.88
Fe 0.0000 0.5000 0.5000  4 Si 2.36
Fe 0.5000 0.5000 0.5000  4 Si 2.36
Si 0.2500 0.0000 0.7084  4 Fe 2.36
Si 0.7500 0.0000 0.2916  4 Fe 2.36

- Calculated total energy: -0.2051 hartree per atom
- Energy relative to the elements, uncorrected: -0.12 eV/f.u.

=====

> Which of these has the lowest energy relative to the elements, uncorrected?

number 8